TaTl2Cd | PBE | optimized geometry

space group = P4/mmm, No. 123
total energy = -15.07 eV for the cell shown
ΔE_f = 609 meV/atom
ΔE to the lowest computed polymorph = 218 meV/atom

a = 4.588 Å, b = 4.588 Å, c = 4.213 Å
α = 90.00°, β = 90.00°, γ = 90.00°
Fractional positions:
Ta 0.000 0.000 0.000
Tl 0.000 0.500 0.500
Tl 0.500 0.000 0.500
Cd 0.500 0.500 0.000